Record 1
CsNdCdI6 (PBE, relaxed); DOS(E_F) = 0.00 states/eV/f.u.; total magnetic moment = 0.0 Bohr magnetons per cell
1.0
7.994 0.000 0.000
-3.997 6.923 0.000
0.000 0.000 8.647
Cs Nd Cd I
1 1 1 6
Direct
0.000 0.000 0.000
0.333 0.667 0.500
0.667 0.333 0.500
0.380 0.009 0.708
0.380 0.371 0.292
0.629 0.009 0.292
0.629 0.620 0.708
0.991 0.371 0.708
0.991 0.620 0.292

Record 2
Cs2CdNiI6 (PBE, relaxed); DOS(E_F) = 1.69 states/eV/f.u.; total magnetic moment = 3.9 Bohr magnetons per cell
1.0
4.150 2.396 13.884
-4.150 2.396 13.884
0.000 -4.792 13.884
Cs Cd Ni I
4 2 2 12
Direct
0.121 0.121 0.121
0.296 0.296 0.296
0.704 0.704 0.704
0.879 0.879 0.879
0.414 0.414 0.414
0.586 0.586 0.586
0.000 0.000 0.000
0.500 0.500 0.500
0.145 0.618 0.618
0.197 0.197 0.723
0.197 0.723 0.197
0.277 0.803 0.803
0.382 0.382 0.855
0.382 0.855 0.382
0.618 0.145 0.618
0.618 0.618 0.145
0.723 0.197 0.197
0.803 0.277 0.803
0.803 0.803 0.277
0.855 0.382 0.382

Record 3
CsNpCd2I8 (PBE, relaxed); DOS(E_F) = 4.30 states/eV/f.u.; total magnetic moment = 4.0 Bohr magnetons per cell
1.0
8.836 0.000 0.000
-4.418 7.653 0.000
0.000 0.000 10.256
Cs Np Cd I
1 1 2 8
Direct
0.000 0.000 0.000
0.000 0.000 0.500
0.333 0.667 0.206
0.667 0.333 0.794
0.160 0.320 0.317
0.160 0.840 0.317
0.320 0.160 0.683
0.333 0.667 0.943
0.667 0.333 0.057
0.680 0.840 0.317
0.840 0.160 0.683
0.840 0.680 0.683

Record 4
Cs2CdIO (PBE, relaxed); DOS(E_F) = 1.06 states/eV/f.u.; total magnetic moment = 0.0 Bohr magnetons per cell
1.0
6.537 0.000 0.000
0.000 6.537 0.000
0.000 0.000 4.502
Cs Cd I O
2 1 1 1
Direct
0.000 0.500 0.000
0.500 0.000 0.000
0.000 0.000 0.500
0.500 0.500 0.500
0.000 0.000 0.000

Record 5
CsCdI2O8 (PBE, relaxed); DOS(E_F) = 3.37 states/eV/f.u.; total magnetic moment = 0.0 Bohr magnetons per cell
1.0
2.841 1.640 9.147
-2.841 1.640 9.147
0.000 -3.280 9.147
Cs Cd I O
1 1 2 8
Direct
0.000 0.000 0.000
0.500 0.500 0.500
0.235 0.235 0.235
0.765 0.765 0.765
0.106 0.483 0.761
0.239 0.894 0.517
0.301 0.301 0.301
0.483 0.761 0.106
0.517 0.239 0.894
0.699 0.699 0.699
0.761 0.106 0.483
0.894 0.517 0.239

Record 6
Cs2CdIO4 (PBE, relaxed); DOS(E_F) = 0.23 states/eV/f.u.; total magnetic moment = 1.0 Bohr magnetons per cell
1.0
-3.379 3.379 3.909
3.379 -3.379 3.909
3.379 3.379 -3.909
Cs Cd I O
2 1 1 4
Direct
0.000 0.000 0.000
0.750 0.250 0.500
0.500 0.500 0.000
0.250 0.750 0.500
0.196 0.091 0.647
0.445 0.550 0.353
0.450 0.804 0.895
0.909 0.555 0.105

Record 7
Cs2CdPI6 (PBE, relaxed); DOS(E_F) = 2.87 states/eV/f.u.; total magnetic moment = 0.0 Bohr magnetons per cell
1.0
-4.200 4.200 5.920
4.200 -4.200 5.920
4.200 4.200 -5.920
Cs Cd P I
2 1 1 6
Direct
0.250 0.750 0.500
0.750 0.250 0.500
0.000 0.000 0.000
0.500 0.500 0.000
0.259 0.259 0.000
0.260 0.260 0.520
0.260 0.740 0.000
0.740 0.260 0.000
0.740 0.740 0.480
0.741 0.741 0.000

Record 8
Cs2CdPI (PBE, relaxed); DOS(E_F) = 1.61 states/eV/f.u.; total magnetic moment = 0.0 Bohr magnetons per cell
1.0
7.161 0.000 0.000
0.000 7.161 0.000
0.000 0.000 4.753
Cs Cd P I
2 1 1 1
Direct
0.000 0.500 0.000
0.500 0.000 0.000
0.000 0.000 0.500
0.000 0.000 0.000
0.500 0.500 0.500

Record 9
CsPaCdI6 (PBE, relaxed); DOS(E_F) = 0.60 states/eV/f.u.; total magnetic moment = 0.2 Bohr magnetons per cell
1.0
9.363 0.000 0.000
-4.682 8.109 0.000
0.000 0.000 13.683
Cs Pa Cd I
2 2 2 12
Direct
0.333 0.667 0.250
0.667 0.333 0.750
0.333 0.667 0.750
0.667 0.333 0.250
0.000 0.000 0.000
0.000 0.000 0.500
0.078 0.406 0.624
0.078 0.672 0.876
0.328 0.406 0.876
0.328 0.922 0.624
0.406 0.078 0.124
0.406 0.328 0.376
0.594 0.672 0.624
0.594 0.922 0.876
0.672 0.078 0.376
0.672 0.594 0.124
0.922 0.328 0.124
0.922 0.594 0.376

Record 10
Cs2CdPdI6 (PBE, relaxed); DOS(E_F) = 4.54 states/eV/f.u.; total magnetic moment = 0.0 Bohr magnetons per cell
1.0
4.110 2.373 14.182
-4.110 2.373 14.182
0.000 -4.746 14.182
Cs Cd Pd I
4 2 2 12
Direct
0.119 0.119 0.119
0.297 0.297 0.297
0.703 0.703 0.703
0.881 0.881 0.881
0.415 0.415 0.415
0.585 0.585 0.585
0.000 0.000 0.000
0.500 0.500 0.500
0.135 0.624 0.624
0.202 0.202 0.715
0.202 0.715 0.202
0.285 0.798 0.798
0.376 0.376 0.865
0.376 0.865 0.376
0.624 0.135 0.624
0.624 0.624 0.135
0.715 0.202 0.202
0.798 0.285 0.798
0.798 0.798 0.285
0.865 0.376 0.376

Record 11
Cs2CdPdI6 (PBE, relaxed); DOS(E_F) = 2.80 states/eV/f.u.; total magnetic moment = 0.0 Bohr magnetons per cell
1.0
-4.144 4.144 5.898
4.144 -4.144 5.898
4.144 4.144 -5.898
Cs Cd Pd I
2 1 1 6
Direct
0.250 0.750 0.500
0.750 0.250 0.500
0.000 0.000 0.000
0.500 0.500 0.000
0.256 0.256 0.513
0.256 0.744 0.000
0.265 0.265 0.000
0.735 0.735 0.000
0.744 0.256 0.000
0.744 0.744 0.487

Record 12
Cs2CdPdI (PBE, relaxed); DOS(E_F) = 1.32 states/eV/f.u.; total magnetic moment = 0.0 Bohr magnetons per cell
1.0
6.664 0.000 0.000
0.000 6.664 0.000
0.000 0.000 5.283
Cs Cd Pd I
2 1 1 1
Direct
0.000 0.500 0.000
0.500 0.000 0.000
0.000 0.000 0.500
0.000 0.000 0.000
0.500 0.500 0.500

| no. | raw formation energy (meV/atom) |
| --- | --- |
| 1 | -1162 |
| 2 | -774 |
| 3 | -756 |
| 4 | -1018 |
| 5 | -525 |
| 6 | -857 |
| 7 | -712 |
| 8 | -608 |
| 9 | -929 |
| 10 | -801 |
| 11 | -803 |
| 12 | -570 |